First-principles (PBE) data for an optimized crystal structure of Rb2NaIO4, as listed in the Alexandria database.

raw formation energy = -8.2 eV/f.u.
magnetization = 0.0 Bohr magnetons per cell
Fermi-level density of states = 0.00 states/eV/cell

```
Rb2NaIO4
1.0
6.233 -0.184 -0.281
-2.822 5.561 0.281
-2.822 -1.980 5.204
Rb O Na I
2 4 1 1
Direct
0.500 0.750 0.250
0.000 0.000 0.000
0.935 0.537 0.164
0.065 0.229 0.602
0.627 0.398 0.463
0.373 0.836 0.771
0.500 0.250 0.750
0.000 0.500 0.500
```